Run P
{
  "formula": "Hg5Cl",
  "functional": "GGA-PBEsol",
  "state": "optimized geometry",
  "lattice_angstrom": [[4.1493, 0.0000, 0.0000], [0.0000, 5.9268, 0.0000], [-2.0747, 0.0000, 6.2566]],
  "species": ["Hg", "Hg", "Hg", "Hg", "Hg", "Cl"],
  "fractional_positions": [[0.7220, 0.0000, 0.4439], [0.0563, 0.5000, 0.1125], [0.7208, 0.5000, 0.4416], [0.3917, 0.5000, 0.7833], [0.3878, 0.0000, 0.7756], [0.0549, 0.0000, 0.1098]],
  "m_tot_mub_per_fu": 0.000,
  "sg": "Amm2"
}



Run Q
{
  "formula": "Hg5Cl",
  "functional": "GGA-PBEsol",
  "state": "optimized geometry",
  "lattice_angstrom": [[-3.3029, 2.3079, -0.8762], [-3.9622, -6.0597, -1.0251], [2.3593, 1.9321, 5.8980]],
  "species": ["Hg", "Hg", "Hg", "Hg", "Hg", "Cl"],
  "fractional_positions": [[0.2303, 0.5189, 0.4606], [0.5558, 0.5000, 0.1117], [0.3940, 0.0186, 0.7880], [0.7165, 0.9812, 0.4330], [0.8813, 0.4811, 0.7627], [0.0553, 0.0001, 0.1107]],
  "m_tot_mub_per_fu": 0.000,
  "sg": "Cm"
}



Stability summary: most stable run Q, least stable run P.



Run P
{
  "formula": "InHgCl",
  "functional": "GGA-PBEsol",
  "state": "optimized geometry",
  "lattice_angstrom": [[3.6357, 0.0477, -0.0004], [-0.0501, 3.6357, -0.0002], [-1.7934, -1.8427, 5.9505]],
  "species": ["Hg", "Cl", "In"],
  "fractional_positions": [[0.6710, 0.6710, 0.3422], [0.9776, 0.9776, 0.9559], [0.3514, 0.3514, 0.7019]],
  "m_tot_mub_per_fu": 0.000,
  "sg": "I4mm"
}



Run Q
{
  "formula": "InHgCl",
  "functional": "GGA-PBEsol",
  "state": "optimized geometry",
  "lattice_angstrom": [[-4.1019, -1.6243, 0.8276], [3.3591, -0.8226, 2.8615], [-1.1157, 4.0829, 2.4834]],
  "species": ["Cl", "In", "Hg"],
  "fractional_positions": [[0.0000, 0.0000, 0.0383], [0.6667, 0.3333, 0.3208], [0.3333, 0.6667, 0.6409]],
  "m_tot_mub_per_fu": 0.000,
  "sg": "P3m1"
}



Run R
{
  "formula": "InHgCl",
  "functional": "GGA-PBEsol",
  "state": "optimized geometry",
  "lattice_angstrom": [[-2.9624, -4.0458, -0.3267], [0.0150, -2.7944, -4.1764], [2.0164, -4.6023, 0.0635]],
  "species": ["Hg", "Cl", "In"],
  "fractional_positions": [[0.5000, 0.5000, 0.5000], [0.0000, 0.0000, 0.0000], [0.2500, 0.2500, 0.2500]],
  "m_tot_mub_per_fu": 0.000,
  "sg": "F-43m"
}



Stability summary: most stable run P, least stable run R.